Material: Nd2MnPd9
Method: DFT, GGA-PBE
State: relaxed

The structure in POSCAR format:
```
Nd2MnPd9
1.0
4.160 0.000 0.000
0.000 4.160 0.000
0.000 0.000 12.080
Nd Mn Pd
2 1 9
Direct
0.000 0.000 0.176 Nd
0.000 0.000 0.824 Nd
0.000 0.000 0.500 Mn
0.000 0.500 0.000 Pd
0.000 0.500 0.351 Pd
0.000 0.500 0.649 Pd
0.500 0.000 0.000 Pd
0.500 0.000 0.351 Pd
0.500 0.000 0.649 Pd
0.500 0.500 0.174 Pd
0.500 0.500 0.500 Pd
0.500 0.500 0.826 Pd
```

Formation enthalpy at 0 K, kJ per mole of atoms: -54.1